NaCo3P3O13, optimized geometry, DFT PBE with a Hubbard U; M_tot = 8.9 μB per cell; DFT total energy = -0.4738 Ry/atom
1.0
7.520 0.000 0.000
0.000 6.099 0.000
-1.797 0.000 10.110
Na Co P O
2 6 6 26
Cartesian
0.901 1.525 1.990 Na
4.822 4.574 8.120 Na
-0.482 1.525 8.094 Co
1.303 4.574 4.441 Co
3.760 0.000 0.000 Co
3.760 3.049 0.000 Co
4.420 1.525 5.669 Co
6.204 4.574 2.016 Co
1.305 4.574 1.153 P
0.518 4.574 7.707 P
1.222 1.525 5.283 P
4.501 4.574 4.827 P
5.205 1.525 2.403 P
4.418 1.525 8.957 P
-0.037 4.574 0.387 O
-0.417 3.381 7.967 O
-0.417 5.767 7.967 O
-0.021 1.525 6.162 O
0.720 4.574 2.619 O
1.133 0.314 4.283 O
1.133 2.735 4.283 O
2.130 3.285 0.945 O
2.130 5.863 0.945 O
1.287 4.574 6.400 O
1.231 1.525 9.230 O
1.585 4.574 8.900 O
2.509 1.525 6.117 O
3.213 4.574 3.993 O
4.138 1.525 1.210 O
4.492 4.574 0.880 O
4.436 1.525 3.710 O
3.593 0.236 9.165 O
3.593 2.813 9.165 O
4.589 3.364 5.827 O
4.589 5.784 5.827 O
5.003 1.525 7.491 O
5.744 4.574 3.948 O
6.140 0.332 2.143 O
6.140 2.718 2.143 O
5.760 1.525 9.723 O